[1]
{
  "formula": "Ho2PaTcO8",
  "functional": "PBE-GGA",
  "state": "relaxed",
  "dft_energy_ev_per_atom": -8.628,
  "formation_energy_uncorrected_ev_per_atom": -2.9046,
  "m_tot_mub_per_atom": 0.17,
  "dos_ef_per_ev_cell": 5.59,
  "lattice_angstrom": [[3.5033, -3.5880, 0.0000], [3.5033, 3.5880, 0.0000], [0.0000, 0.0000, 6.7653]],
  "species": ["Ho", "Ho", "Pa", "Tc", "O", "O", "O", "O", "O", "O", "O", "O"],
  "frac_coords": [[0.0000, 0.0000, 0.2421], [0.0000, 0.0000, 0.7579], [0.5000, 0.5000, 0.5000], [0.5000, 0.5000, 0.0000], [0.1983, 0.1983, 0.5000], [0.2240, 0.2240, 0.0000], [0.3168, 0.6832, 0.2311], [0.3168, 0.6832, 0.7689], [0.6832, 0.3168, 0.2311], [0.6832, 0.3168, 0.7689], [0.7760, 0.7760, 0.0000], [0.8017, 0.8017, 0.5000]]
}


[2]
{
  "formula": "AcBiTe3",
  "functional": "PBE-GGA",
  "state": "relaxed",
  "dft_energy_ev_per_atom": -4.062,
  "formation_energy_uncorrected_ev_per_atom": -0.5793,
  "m_tot_mub_per_atom": 0.00,
  "dos_ef_per_ev_cell": 0.26,
  "lattice_angstrom": [[3.9006, -8.8499, 0.0000], [3.9006, 8.8499, 0.0000], [0.0000, 0.0000, 5.8097]],
  "species": ["Ac", "Ac", "Bi", "Bi", "Te", "Te", "Te", "Te", "Te", "Te"],
  "frac_coords": [[0.1751, 0.8249, 0.0000], [0.8249, 0.1751, 0.0000], [0.3924, 0.6076, 0.5000], [0.6076, 0.3924, 0.5000], [0.0000, 0.5000, 0.5000], [0.2008, 0.2008, 0.5000], [0.3556, 0.6444, 0.0000], [0.5000, 0.0000, 0.5000], [0.6444, 0.3556, 0.0000], [0.7992, 0.7992, 0.5000]]
}


[3]
{
  "formula": "BaFeIr2",
  "functional": "PBE-GGA",
  "state": "relaxed",
  "dft_energy_ev_per_atom": -6.137,
  "m_tot_mub_per_atom": 0.87,
  "formation_enthalpy_0k_kj_per_mol_atoms": 85.9,
  "dos_ef_per_ev_cell": 5.87,
  "lattice_angstrom": [[2.8617, -4.9952, 0.0000], [2.8617, 4.9952, 0.0000], [-1.3398, 0.0000, 2.6249]],
  "species": ["Ba", "Fe", "Ir", "Ir"],
  "frac_coords": [[0.0000, 0.0000, 0.0000], [0.5000, 0.5000, 0.0000], [0.0000, 0.5000, 0.5000], [0.5000, 0.0000, 0.5000]]
}